Below is a relaxed structure of BaTa2Mn, with properties calculated at the GGA-PBE level.

The calculated formation energy comes out at 1.26 eV/atom. The energy above the most stable polymorph in this dataset comes out at 686 meV per atom. The electronic total energy comes out at -0.2734 Ha/atom.

The space group is P4/mmm (No. 123) and the conventional cell measures 4.187, 4.187 and 5.027 Å, with angles of 90.00, 90.00 and 90.00 degrees. The asymmetric unit holds Ba at (0.000, 0.000, 0.000), Ta at (0.000, 0.500, 0.500) and Mn at (0.500, 0.500, 0.000).

Below is a relaxed structure of La2NiPN, with properties calculated at the GGA-PBE level.

The energy above the most stable polymorph in this dataset comes out at 0 meV per atom. The electronic total energy comes out at -0.2598 Ha/atom.

The space group is P2_1/m (No. 11) and the conventional cell measures 6.388, 3.948 and 8.125 Å, with angles of 90.00, 107.35 and 90.00 degrees. The asymmetric unit holds La at (0.211, 0.250, 0.389), La at (0.225, 0.250, 0.964), Ni at (0.474, 0.750, 0.250), P at (0.325, 0.750, 0.695) and N at (0.158, 0.750, 0.168).

Below is a relaxed structure of Sr2Ag2P, with properties calculated at the GGA-PBE level.

The calculated formation energy comes out at -0.21 eV/atom. The energy above the most stable polymorph in this dataset comes out at 241 meV per atom. The electronic total energy comes out at -0.1142 Ha/atom.

The space group is I4/mmm (No. 139) and the conventional cell measures 6.165, 6.165 and 7.595 Å, with angles of 90.00, 90.00 and 90.00 degrees. The asymmetric unit holds Sr at (0.000, 0.500, 0.250), Ag at (0.000, 0.000, 0.171) and P at (0.000, 0.000, 0.500).

Below is a relaxed structure of AcPr3Co2, with properties calculated at the GGA-PBE level.

The calculated formation energy comes out at -0.02 eV/atom. The electronic total energy comes out at -0.2007 Ha/atom.

The space group is C2/m (No. 12) and the conventional cell measures 17.418, 3.878 and 12.670 Å, with angles of 90.00, 125.89 and 90.00 degrees. The asymmetric unit holds Ac at (0.155, 0.000, 0.252), Pr at (0.087, 0.500, 0.450), Pr at (0.089, 0.500, 0.945), Pr at (0.157, 0.000, 0.753), Co at (0.234, 0.000, 0.545) and Co at (0.236, 0.000, 0.043).

Below is a relaxed structure of NaGa3Rh, with properties calculated at the GGA-PBE level.

The calculated formation energy comes out at -0.26 eV/atom. The energy above the most stable polymorph in this dataset comes out at 47 meV per atom. The electronic total energy comes out at -0.1399 Ha/atom.

The space group is Pm-3m (No. 221) and the conventional cell measures 4.820, 4.820 and 4.820 Å, with angles of 90.00, 90.00 and 90.00 degrees. The asymmetric unit holds Na at (0.000, 0.000, 0.000), Ga at (0.000, 0.500, 0.500) and Rh at (0.500, 0.500, 0.500).

> What is the formula in the fifth record?

NaGa3Rh

> electronic total energy of number 5 (NaGa3Rh)?

-0.1399 Ha/atom

Please write out number 4 again, unchanged.
Below is a relaxed structure of AcPr3Co2, with properties calculated at the GGA-PBE level.

The calculated formation energy comes out at -0.02 eV/atom. The electronic total energy comes out at -0.2007 Ha/atom.

The space group is C2/m (No. 12) and the conventional cell measures 17.418, 3.878 and 12.670 Å, with angles of 90.00, 125.89 and 90.00 degrees. The asymmetric unit holds Ac at (0.155, 0.000, 0.252), Pr at (0.087, 0.500, 0.450), Pr at (0.089, 0.500, 0.945), Pr at (0.157, 0.000, 0.753), Co at (0.234, 0.000, 0.545) and Co at (0.236, 0.000, 0.043).

> Look up the electronic total energy of the fourth one.

-0.2007 Ha/atom